Material: BeZnAu2
Method: DFT, SCAN
State: PBEsol geometry

Geometry as CIF:
```
data_BeZnAu2
_cell_length_a 2.8576
_cell_length_b 2.8576
_cell_length_c 24.4209
_cell_angle_alpha 90.00
_cell_angle_beta 90.00
_cell_angle_gamma 120.00
_symmetry_space_group_name_H-M 'R -3 m'
_symmetry_Int_Tables_number 166
_symmetry_space_group_name_Hall '-R 3 2"'
loop_
_atom_site_label
_atom_site_type_symbol
_atom_site_fract_x
_atom_site_fract_y
_atom_site_fract_z
Be1 Be 0.0000 0.0000 0.0000
Zn1 Zn 0.0000 0.0000 0.5000
Au1 Au 0.0000 0.0000 0.2590
```

## Properties
Polymorph energy (0 for the lowest one): 81 meV per atom
E_form: -0.133 eV per atom
Calculated total energy: -39.179 eV/atom
Magnetic moment: 0.00 μB per atom